Entry from the Alexandria database: a relaxed structure of TlOsW2 (PBE-GGA). Values from VASP.

total energy = -9.02 eV per atom
excess energy over the best structure of this formula in the dataset = 1.24 eV per formula unit
Fermi-level density of states = 0.9280 states/eV/atom

Quantum ESPRESSO input file:
```
&SYSTEM
  ibrav = 0, nat = 4, ntyp = 3
/
ATOMIC_SPECIES
Os 190.23 Os.upf
Tl 204.38 Tl.upf
W 183.84 W.upf
ATOMIC_POSITIONS angstrom
Os 2.520 0.008 1.446
Tl -0.999 2.313 1.446
W 0.000 0.000 0.000
W 1.514 2.311 -0.011
CELL_PARAMETERS angstrom
5.033 0.006 -0.011
-2.005 4.616 -0.011
0.007 0.010 2.904
```